Compound: TiCo2N2
Source: Alexandria
Functional: GGA-PBE
Structure: relaxed

abc: 5.7470 5.7470 2.9153
angles: 90.00 90.00 90.00
Closest atoms and distances in Å follow each position.
Fractional positions:
Ti1 0.0000 0.0000 0.0000  4 N 2.10
Ti2 0.5000 0.5000 0.0000  4 N 2.10
Co1 0.1600 0.3400 0.5000  2 N 1.92
Co2 0.3400 0.8400 0.5000  2 N 1.92
Co3 0.6600 0.1600 0.5000  2 N 1.92
Co4 0.8400 0.6600 0.5000  2 N 1.92
N1 0.1864 0.6864 0.0000  2 Co 1.92, 2 Ti 2.10
N2 0.3136 0.1864 0.0000  2 Co 1.92, 2 Ti 2.10
N3 0.6864 0.8136 0.0000  2 Co 1.92, 2 Ti 2.10
N4 0.8136 0.3136 0.0000  2 Co 1.92, 2 Ti 2.10

Calculated values
**M_tot**: 0.0 μB/cell
**Formation energy without anion corrections**: 21.7 meV per atom
**Calculated volume**: 96 Å³/cell
**Space-group type**: P4/mbm (127)
**E**: -7.730 eV/atom

---

Compound: ThSiGe
Source: Alexandria
Functional: GGA-PBE
Structure: relaxed

abc: 6.0405 6.0405 6.0405
angles: 140.78 98.95 94.00
Closest atoms and distances in Å follow each position.
Fractional positions:
Th1 0.2478 0.2478 0.0000  6 Si 3.12-3.42, 6 Ge 3.20-3.29
Th2 0.7522 0.7522 0.0000  6 Si 3.12-3.42, 6 Ge 3.20-3.29
Si1 0.1533 0.5000 0.6533  1 Si 2.41, 2 Ge 2.45
Si2 0.8467 0.5000 0.3467  1 Si 2.41, 2 Ge 2.45
Ge1 0.3294 0.0000 0.3294  2 Si 2.45, 1 Ge 2.68
Ge2 0.6706 0.0000 0.6706  2 Si 2.45, 1 Ge 2.68

Calculated values
**M_tot**: 0.0 μB/cell
**Formation energy without anion corrections**: -546.0 meV per atom
**Calculated volume**: 131 Å³/cell
**Space-group type**: Immm (71)
**E**: -6.366 eV/atom

---

Compound: ScNi2Br
Source: Alexandria
Functional: GGA-PBE
Structure: relaxed

abc: 3.2929 3.2826 7.1053
angles: 90.00 102.51 90.00
Closest atoms and distances in Å follow each position.
Fractional positions:
Sc1 0.0000 0.0000 0.0000  1 Ni 2.31
Ni1 0.1567 0.0000 0.3328  1 Sc 2.31, 4 Ni 2.43
Ni2 0.6087 0.5000 0.2307  4 Ni 2.43
Br1 0.3858 0.5000 0.7563  4 Sc 2.87

Calculated values
**M_tot**: 0.0 μB/cell
**Formation energy without anion corrections**: -275.3 meV per atom
**Calculated volume**: 75 Å³/cell
**Space-group type**: Pm (6)
**E**: -5.167 eV/atom

---

Compound: KSiPb2
Source: Alexandria
Functional: GGA-PBE
Structure: relaxed

abc: 5.8993 5.8993 5.8993
angles: 130.91 130.91 71.96
Closest atoms and distances in Å follow each position.
Fractional positions:
K1 0.0000 0.0000 0.0000  8 Pb 3.42, 4 Si 3.47
Si1 0.5000 0.5000 0.0000  8 Pb 3.42, 4 K 3.47
Pb1 0.2500 0.7500 0.5000  4 K 3.42, 4 Si 3.42, 4 Pb 3.47
Pb2 0.7500 0.2500 0.5000  4 K 3.42, 4 Si 3.42, 4 Pb 3.47

Calculated values
**M_tot**: 0.0 μB/cell
**Formation energy without anion corrections**: 287.2 meV per atom
**Calculated volume**: 115 Å³/cell
**Space-group type**: I4/mmm (139)
**E**: -3.197 eV/atom

---

Compound: CoReTc2
Source: Alexandria
Functional: GGA-PBE
Structure: relaxed

abc: 5.4850 5.4850 5.4850
angles: 102.70 102.70 124.08
Closest atoms and distances in Å follow each position.
Fractional positions:
Co1 0.0000 0.0000 0.0000  4 Tc 2.51, 2 Re 2.57
Co2 0.7500 0.2500 0.5000  4 Tc 2.51, 2 Re 2.57
Re1 0.2500 0.7500 0.5000  4 Tc 2.50, 2 Co 2.57
Re2 0.5000 0.5000 0.0000  4 Tc 2.50, 2 Co 2.57
Tc1 0.1264 0.6250 0.0014  2 Re 2.50, 2 Co 2.51, 2 Tc 2.57
Tc2 0.3750 0.3764 0.5014  2 Re 2.50, 2 Co 2.51, 2 Tc 2.57
Tc3 0.6236 0.1250 0.9986  2 Re 2.50, 2 Co 2.51, 2 Tc 2.57
Tc4 0.8750 0.8736 0.4986  2 Re 2.50, 2 Co 2.51, 2 Tc 2.57

Calculated values
**M_tot**: 2.3 μB/cell
**E_form**: 3.24 eV/f.u.
**Calculated volume**: 121 Å³/cell
**Space-group type**: I-42d (122)
**E**: -9.262 eV/atom

---

Compound: DyCd6Cu6
Source: Alexandria
Functional: GGA-PBE
Structure: relaxed

abc: 7.0954 7.0954 7.0954
angles: 136.87 97.86 97.67
Closest atoms and distances in Å follow each position.
Fractional positions:
Dy1 0.0000 0.0000 0.0000  8 Cd 3.15-3.22, 4 Cu 3.36
Cd1 0.1891 0.5000 0.6891  6 Cu 2.73-2.76, 2 Cd 2.99
Cd2 0.3380 0.3380 0.0000  6 Cu 2.79-2.81, 1 Cd 3.03
Cd3 0.3451 0.0000 0.3451  6 Cu 2.82-2.93, 3 Cd 2.89-2.99
Cd4 0.6549 0.0000 0.6549  6 Cu 2.82-2.93, 3 Cd 2.89-2.99
Cd5 0.6620 0.6620 0.0000  6 Cu 2.79-2.81, 1 Cd 3.03
Cd6 0.8109 0.5000 0.3109  6 Cu 2.73-2.76, 2 Cd 2.99
Cu1 0.0000 0.0000 0.5000  4 Cu 2.61-2.68, 6 Cd 2.73-2.82
Cu2 0.0000 0.5000 0.0000  4 Cu 2.61-2.68, 6 Cd 2.73-2.82
Cu3 0.2270 0.7270 0.5000  4 Cu 2.68, 6 Cd 2.76-2.93
Cu4 0.5000 0.0000 0.0000  4 Cu 2.61-2.68, 6 Cd 2.73-2.82
Cu5 0.5000 0.5000 0.5000  4 Cu 2.61-2.68, 6 Cd 2.73-2.82
Cu6 0.7730 0.2730 0.5000  4 Cu 2.68, 6 Cd 2.76-2.93

Calculated values
**M_tot**: 0.0 μB/cell
**E_form**: -0.88 eV/f.u.
**Calculated volume**: 227 Å³/cell
**Space-group type**: Immm (71)
**E**: -2.734 eV/atom